1.
A plane-wave DFT calculation with GGA-PBE was carried out for crystalline YHoTl at its relaxed geometry.

Values from the calculation:
ΔH_f (0 K) = -0.147 eV per atom
spin magnetization = 0.0 μB/f.u.
E above lowest polymorph = 139.2 meV per atom
space group = P3m1

Cell: 3.689 5.248 5.248 Å, 120.00 90.00 90.00°
Sites, in units of the cell vectors:
Y (0.378, 0.333, 0.667)
Tl (0.708, 0.667, 0.333)
Ho (0.914, 0.000, 0.000)

2.
A plane-wave DFT calculation with GGA-PBE was carried out for crystalline Bi2RhPb6 at its relaxed geometry.

Values from the calculation:
ΔH_f (0 K) = -0.028 eV per atom
spin magnetization = 0.0 μB/f.u.
space group = Amm2

Cell: 4.160 8.582 8.593 Å, 119.96 90.00 90.00°
Sites, in units of the cell vectors:
Bi (0.000, 0.333, 0.666)
Bi (0.000, 0.667, 0.334)
Rh (0.500, 0.000, 0.000)
Pb (0.500, 0.636, 0.000)
Pb (0.500, 0.364, 0.364)
Pb (0.500, 0.000, 0.636)
Pb (0.000, 0.237, 0.000)
Pb (0.000, 0.764, 0.764)
Pb (0.000, 0.000, 0.236)